Material: CdBi3Sb
Method: DFT, GGA-PBE
State: optimized geometry Values from VASP.

Quantum ESPRESSO input file:
```
&SYSTEM
  ibrav = 0, nat = 5, ntyp = 3
/
ATOMIC_SPECIES
Cd 112.41 Cd.upf
Bi 208.98 Bi.upf
Sb 121.76 Sb.upf
CELL_PARAMETERS angstrom
5.631 0.000 0.000
0.000 5.631 0.000
0.000 0.000 5.631
ATOMIC_POSITIONS crystal
Cd 0.000 0.000 0.000
Bi 0.000 0.000 0.500
Bi 0.000 0.500 0.000
Bi 0.500 0.000 0.000
Sb 0.500 0.500 0.500
```

* size of the total moment: 0.00 μB per cell
* ΔE_f (raw): 0.690 eV per atom
* polymorph energy (0 for the lowest one): 0 meV per atom

=====

Material: Tb6PrNd2Y3
Method: DFT, GGA-PBE
State: optimized geometry Values from VASP.

Quantum ESPRESSO input file:
```
&SYSTEM
  ibrav = 0, nat = 12, ntyp = 4
/
ATOMIC_SPECIES
Tb 158.93 Tb.upf
Pr 140.91 Pr.upf
Nd 144.24 Nd.upf
Y 88.91 Y.upf
CELL_PARAMETERS angstrom
3.118 -5.398 0.000
3.118 5.398 0.000
-2.071 0.000 11.733
ATOMIC_POSITIONS crystal
Tb 0.082 0.415 0.247
Tb 0.251 0.251 0.753
Tb 0.415 0.082 0.247
Tb 0.585 0.918 0.753
Tb 0.749 0.749 0.247
Tb 0.918 0.585 0.753
Pr 0.500 0.500 0.500
Nd 0.167 0.833 0.500
Nd 0.833 0.167 0.500
Y 0.000 0.000 0.000
Y 0.333 0.667 0.000
Y 0.667 0.333 0.000
```

* size of the total moment: 0.00 μB per cell
* formation energy from the elements: 17 meV/atom

=====

Material: Ce2HoPdS4
Method: DFT, GGA-PBE
State: optimized geometry Values from VASP.

Quantum ESPRESSO input file:
```
&SYSTEM
  ibrav = 0, nat = 8, ntyp = 4
/
ATOMIC_SPECIES
Ce 140.12 Ce.upf
Ho 164.93 Ho.upf
Pd 106.42 Pd.upf
S 32.06 S.upf
CELL_PARAMETERS angstrom
-3.421 3.421 3.400
3.421 -3.421 3.400
3.421 3.421 -3.400
ATOMIC_POSITIONS crystal
Ce 0.000 0.500 0.500
Ce 0.500 0.000 0.500
Ho 0.000 0.000 0.000
Pd 0.500 0.500 0.000
S 0.074 0.074 0.589
S 0.486 0.486 0.411
S 0.514 0.926 0.000
S 0.926 0.514 0.000
```

* size of the total moment: 2.25 μB per cell
* ΔE_f (raw): -1.540 eV per atom

=====

Material: Pr4Nd3SmS8
Method: DFT, GGA-PBE
State: optimized geometry Values from VASP.

Quantum ESPRESSO input file:
```
&SYSTEM
  ibrav = 0, nat = 16, ntyp = 4
/
ATOMIC_SPECIES
Pr 140.91 Pr.upf
Nd 144.24 Nd.upf
Sm 150.36 Sm.upf
S 32.06 S.upf
CELL_PARAMETERS angstrom
4.079 2.355 6.672
-4.079 2.355 6.672
0.000 -4.710 6.672
ATOMIC_POSITIONS crystal
Pr 0.000 0.000 0.000
Pr 0.000 0.500 0.500
Pr 0.500 0.000 0.500
Pr 0.500 0.500 0.000
Nd 0.000 0.000 0.500
Nd 0.000 0.500 0.000
Nd 0.500 0.000 0.000
Sm 0.500 0.500 0.500
S 0.249 0.249 0.249
S 0.251 0.747 0.747
S 0.253 0.253 0.749
S 0.253 0.749 0.253
S 0.747 0.251 0.747
S 0.747 0.747 0.251
S 0.749 0.253 0.253
S 0.751 0.751 0.751
```

* size of the total moment: 0.00 μB per cell
* ΔE_f (raw): -2.019 eV per atom